GaSiB2S | GGA-PBE | relaxed

Computed properties:
The calculation puts the raw formation energy at 5.43 eV per formula unit. The total energy comes out at -20.503 eV per cell.

Lattice parameters (Å, degrees): 3.964 3.964 5.073 90.00 90.00 90.00
Fractional positions:
Ga (0.000, 0.000, 0.000)
Si (0.000, 0.000, 0.500)
B (0.000, 0.500, 0.500)
B (0.500, 0.000, 0.500)
S (0.500, 0.500, 0.000)